[1]
First-principles (PBE-GGA) data for crystalline AcSmCl6 at its relaxed geometry, as listed in Alexandria via LeMat-Bulk.

POSCAR file:
```
AcSmCl6
1.0
7.012 0.008 0.009
3.497 6.077 0.013
3.493 2.019 6.523
Ac Sm Cl
1 1 6
direct
0.500 0.500 0.500
0.000 0.000 0.000
0.088 0.393 0.758
0.760 0.088 0.758
0.607 0.239 0.242
0.240 0.912 0.242
0.912 0.607 0.242
0.393 0.761 0.758
```

Properties
E: -38.437 eV/f.u.
Symmetry: R-3, No. 148
DOS at the Fermi energy: 0.0 states/eV per cell

[2]
First-principles (PBE-GGA) data for crystalline Ac3SmCl at its relaxed geometry, as listed in Alexandria via LeMat-Bulk.

POSCAR file:
```
Ac3SmCl
1.0
5.831 0.000 0.000
0.000 5.831 0.000
0.000 0.000 5.831
Ac Sm Cl
3 1 1
direct
0.000 0.500 0.000
0.000 0.000 0.500
0.500 0.000 0.000
0.500 0.500 0.500
0.000 0.000 0.000
```

Properties
E: -21.266 eV/f.u.
Symmetry: Pm-3m, No. 221
DOS at the Fermi energy: 6.0 states/eV per cell